# 1
PuAl2Se4, relaxed, DFT PBE; formation energy (no corrections) = -0.88 eV per atom; N(E_F) = 16.1 states/eV per cell
1.0
6.3567 -0.1639 0.0000
-3.2043 5.4924 0.0000
-1.5762 -2.6642 5.5544
Pu Al Se
1 2 4
direct
0.5000 0.5000 0.0000
0.2500 0.7500 0.5000
0.7500 0.2500 0.5000
0.3189 0.1537 0.4726
0.8463 0.3189 0.1652
0.1537 0.6811 0.8348
0.6811 0.8463 0.5274

***

# 2
CdRuO, relaxed, DFT PBE; formation energy (no corrections) = -0.28 eV per atom; N(E_F) = 3.8 states/eV per cell
1.0
3.0378 -0.3229 0.0000
-1.2972 2.7658 0.0000
0.0000 0.0000 10.8930
Ru Cd O
2 2 2
direct
0.7418 0.2582 0.4613
0.2582 0.7418 0.9613
0.4143 0.5857 0.6639
0.5857 0.4143 0.1639
0.9294 0.0706 0.8628
0.0706 0.9294 0.3628

***

# 3
Tb3Pm2Dy, relaxed, DFT PBE; N(E_F) = 18.2 states/eV per cell; formation enthalpy at 0 K = 97 meV per atom
1.0
5.6417 0.0000 0.0000
-2.8209 8.5038 -1.2043
0.0000 -4.5394 8.8468
Tb Pm Dy
6 4 2
direct
0.2884 0.5769 0.5721
0.9570 0.9140 0.6164
0.6144 0.2288 0.6575
0.3856 0.7712 0.3425
0.0430 0.0860 0.3836
0.7116 0.4231 0.4279
0.5066 0.0131 0.8565
0.4934 0.9869 0.1435
0.7665 0.5329 0.1225
0.2335 0.4671 0.8775
0.8696 0.7392 0.8716
0.1304 0.2608 0.1284

***

# 4
Ce3PSN, relaxed, DFT PBE; formation energy (no corrections) = -1.53 eV per atom; N(E_F) = 27.9 states/eV per cell
1.0
-3.6281 -0.3654 -1.5584
-2.5071 -3.9929 6.7731
-1.8659 8.2793 2.4025
Ce P S N
6 2 2 2
direct
0.7500 0.8998 0.1458
0.2500 0.1002 0.8542
0.2500 0.8195 0.4914
0.7500 0.1805 0.5086
0.7500 0.4053 0.1642
0.2500 0.5947 0.8358
0.2500 0.1655 0.2056
0.7500 0.8345 0.7944
0.2500 0.6528 0.1597
0.7500 0.3472 0.8403
0.2500 0.0905 0.5970
0.7500 0.9095 0.4030

***

# 5
TlZn2Cu, relaxed, DFT PBE; N(E_F) = 0.9 states/eV per cell; formation enthalpy at 0 K = 175 meV per atom
1.0
-1.2755 -3.7441 2.5203
0.3405 -4.6531 -0.4798
4.1115 -0.8604 2.4752
Cu Tl Zn
1 1 2
direct
0.2500 0.2500 0.2500
0.7500 0.7500 0.7500
0.9808 0.9808 0.0670
0.5192 0.5192 0.4330

***

# 6
PmDyNiI, relaxed, DFT PBE; formation energy (no corrections) = -0.66 eV per atom; N(E_F) = 2.7 states/eV per cell
1.0
4.0569 -0.0003 -0.0003
-2.0278 3.5138 0.0000
-2.0284 -1.1709 7.9308
Pm Dy Ni I
1 1 1 1
direct
0.5166 0.1563 0.6882
0.0901 0.9430 0.0484
0.3071 0.5514 0.8735
0.9642 0.3801 0.3596

***

The following calculated density values (in Mg/m³) correspond, in order, to the records above: 5.34 8.76 7.84 5.80 9.04 7.24.